# 1
# Ba2CaV2P4O18, single point on PBEsol structure, DFT SCAN
data_Ba2CaV2P4O18
_chemical_formula_sum 'Ba4 Ca2 V4 P8 O36'
_cell_length_a 7.2502
_cell_length_b 7.0262
_cell_length_c 14.3901
_cell_angle_alpha 90.00
_cell_angle_beta 102.76
_cell_angle_gamma 90.00
_space_group_name_H-M_alt 'P 1 c 1'
_space_group_IT_number 7
loop_
_space_group_symop_operation_xyz
'x,y,z'
'x,-y,z+1/2'
loop_
_atom_site_label
_atom_site_fract_x
_atom_site_fract_y
_atom_site_fract_z
Ba1 0.0000 0.0164 0.0000
Ba2 0.2423 0.4684 0.1468
Ca1 0.4539 0.2756 0.9209
V1 0.4670 0.2275 0.4061
V2 0.7879 0.2675 0.7426
P1 0.0863 0.4716 0.3787
P2 0.1791 0.0452 0.7684
P3 0.4962 0.0336 0.5787
P4 0.7572 0.4668 0.5758
O1 0.1487 0.3614 0.9473
O2 0.1618 0.0982 0.1896
O3 0.2797 0.0351 0.3708
O4 0.2835 0.4064 0.3537
O5 0.2875 0.2279 0.7608
O6 0.3450 0.1885 0.5519
O7 0.4209 0.1689 0.0712
O8 0.5750 0.2133 0.3222
O9 0.5998 0.4307 0.4824
O10 0.6078 0.0466 0.4924
O11 0.6392 0.0730 0.6726
O12 0.6465 0.4538 0.6601
O13 0.6940 0.2748 0.8347
O14 0.8426 0.3415 0.0653
O15 0.9001 0.3026 0.6032
O16 0.9739 0.4619 0.7787
O17 0.9764 0.0934 0.7859
O18 0.9895 0.3118 0.4169
# * total DFT energy (no corrections): -13.1071 eV per atom
# * DOS at the Fermi energy: 0.0000 states/eV/atom
# * energy relative to the elements, uncorrected: -2.8294 eV/atom

***

# 2
# BaCaVP2O9, single point on PBEsol structure, DFT SCAN
data_BaCaVP2O9
_chemical_formula_sum 'Ba4 Ca4 V4 P8 O36'
_cell_length_a 7.2890
_cell_length_b 7.0236
_cell_length_c 14.4401
_cell_angle_alpha 90.00
_cell_angle_beta 101.48
_cell_angle_gamma 90.00
_space_group_name_H-M_alt 'P 1 21/c 1'
_space_group_IT_number 14
loop_
_space_group_symop_operation_xyz
'x,y,z'
'-x,-y,-z'
'-x,y+1/2,-z+1/2'
'x,-y+1/2,z+1/2'
loop_
_atom_site_label
_atom_site_fract_x
_atom_site_fract_y
_atom_site_fract_z
Ba1 0.1203 0.2345 0.0718
Ca1 0.3111 0.0191 0.8393
V1 0.3454 0.5151 0.8328
P1 0.0384 0.7238 0.1995
P2 0.3776 0.7238 0.9988
O1 0.0031 0.6170 0.6259
O2 0.1385 0.5472 0.1751
O3 0.1519 0.7127 0.7990
O4 0.1626 0.1793 0.2802
O5 0.2376 0.5576 0.9749
O6 0.2821 0.5814 0.4953
O7 0.4547 0.5317 0.7457
O8 0.4783 0.2014 0.4069
O9 0.4881 0.7208 0.9145
# * total DFT energy (no corrections): -13.2442 eV per atom
# * DOS at the Fermi energy: 0.0000 states/eV/atom
# * energy relative to the elements, uncorrected: -2.9884 eV/atom

***

# 3
# Ba3CaRu2O9, single point on PBEsol structure, DFT SCAN
data_Ba3CaRu2O9
_chemical_formula_sum 'Ba6 Ca2 Ru4 O18'
_cell_length_a 5.8728
_cell_length_b 5.8728
_cell_length_c 14.6490
_cell_angle_alpha 90.00
_cell_angle_beta 90.00
_cell_angle_gamma 120.00
_space_group_name_H-M_alt 'P 63/m m c'
_space_group_IT_number 194
_space_group_name_Hall '-P 6c 2c'
loop_
_atom_site_label
_atom_site_fract_x
_atom_site_fract_y
_atom_site_fract_z
Ba1 0.0000 0.0000 0.2500
Ba2 0.3333 0.6667 0.0977
Ca1 0.0000 0.0000 0.0000
Ru1 0.3333 0.6667 0.6578
O1 0.0313 0.5156 0.7500
O2 0.1763 0.3527 0.5904
# * total DFT energy (no corrections): -19.3067 eV per atom
# * energy relative to the elements, uncorrected: -2.3702 eV/atom

***

# 4
# Ba6Ca2TaRu3O18, single point on PBEsol structure, DFT SCAN
data_Ba6Ca2TaRu3O18
_chemical_formula_sum 'Ba6 Ca2 Ta1 Ru3 O18'
_cell_length_a 5.9035
_cell_length_b 5.9035
_cell_length_c 14.7141
_cell_angle_alpha 90.00
_cell_angle_beta 90.00
_cell_angle_gamma 120.00
_space_group_name_H-M_alt 'P 3 m 1'
_space_group_IT_number 156
loop_
_space_group_symop_operation_xyz
'x,y,z'
'-y,x-y,z'
'-x+y,-x,z'
'-y,-x,z'
'-x+y,y,z'
'x,x-y,z'
loop_
_atom_site_label
_atom_site_fract_x
_atom_site_fract_y
_atom_site_fract_z
Ba1 0.0000 0.0000 0.0000
Ba2 0.0000 0.0000 0.3011
Ba3 0.3333 0.6667 0.5003
Ba4 0.3333 0.6667 0.8084
Ba5 0.6667 0.3333 0.1580
Ba6 0.6667 0.3333 0.6634
Ca1 0.6667 0.3333 0.4095
Ca2 0.6667 0.3333 0.9115
Ta1 0.0000 0.0000 0.5670
Ru1 0.0000 0.0000 0.7555
Ru2 0.3333 0.6667 0.0689
Ru3 0.3333 0.6667 0.2533
O1 0.0184 0.5092 0.0034
O2 0.0221 0.5110 0.3212
O3 0.1509 0.3019 0.6654
O4 0.1832 0.3663 0.1617
O5 0.3110 0.1555 0.8244
O6 0.3235 0.1618 0.5043
# * total DFT energy (no corrections): -20.5957 eV per atom
# * energy relative to the elements, uncorrected: -2.6006 eV/atom

***

# 5
# BaSrCaWO6, single point on PBEsol structure, DFT SCAN
data_BaSrCaWO6
_chemical_formula_sum 'Ba2 Sr2 Ca2 W2 O12'
_cell_length_a 10.0871
_cell_length_b 5.8501
_cell_length_c 5.9086
_cell_angle_alpha 90.00
_cell_angle_beta 125.08
_cell_angle_gamma 90.00
_space_group_name_H-M_alt 'C 1 m 1'
_space_group_IT_number 8
loop_
_space_group_symop_operation_xyz
'x,y,z'
'x,-y,z'
'x+1/2,y+1/2,z'
'x+1/2,-y+1/2,z'
loop_
_atom_site_label
_atom_site_fract_x
_atom_site_fract_y
_atom_site_fract_z
Ba1 0.0000 0.0000 0.0000
Sr1 0.4972 0.0000 0.4803
Ca1 0.2501 0.0000 0.7464
W1 0.2486 0.5000 0.2465
O1 0.0229 0.5000 0.9338
O2 0.2071 0.2764 0.4408
O3 0.2877 0.2584 0.0692
O4 0.4767 0.5000 0.5334
# * total DFT energy (no corrections): -20.8820 eV per atom
# * DOS at the Fermi energy: 0.0000 states/eV/atom
# * energy relative to the elements, uncorrected: -3.0256 eV/atom

***

# 6
# Ba8Sr3CaW4O24, single point on PBEsol structure, DFT SCAN
data_Ba8Sr3CaW4O24
_chemical_formula_sum 'Ba8 Sr3 Ca1 W4 O24'
_cell_length_a 5.9707
_cell_length_b 10.3997
_cell_length_c 10.5220
_cell_angle_alpha 81.00
_cell_angle_beta 73.71
_cell_angle_gamma 89.91
_space_group_name_H-M_alt 'P -1'
_space_group_IT_number 2
loop_
_space_group_symop_operation_xyz
'x,y,z'
'-x,-y,-z'
loop_
_atom_site_label
_atom_site_fract_x
_atom_site_fract_y
_atom_site_fract_z
Ba1 0.0626 0.1824 0.3778
Ba2 0.1824 0.5623 0.1310
Ba3 0.3158 0.9381 0.8651
Ba4 0.4319 0.3066 0.6283
Sr1 0.0000 0.5000 0.5000
Sr2 0.2502 0.2510 0.0009
Ca1 0.5000 0.0000 0.5000
W1 0.1274 0.8779 0.2517
W2 0.3758 0.6274 0.7471
O1 0.0092 0.8375 0.1093
O2 0.0523 0.7004 0.3440
O3 0.0606 0.6713 0.8321
O4 0.1805 0.0745 0.6485
O5 0.1972 0.0547 0.1614
O6 0.2550 0.9204 0.3925
O7 0.2776 0.5777 0.6016
O8 0.3039 0.4501 0.8419
O9 0.3079 0.4162 0.3348
O10 0.4353 0.8305 0.1604
O11 0.4463 0.8048 0.6497
O12 0.4699 0.6754 0.8957
# * total DFT energy (no corrections): -23.5060 eV per atom
# * DOS at the Fermi energy: 0.0000 states/eV/atom
# * energy relative to the elements, uncorrected: -2.9762 eV/atom